The following is a PBE calculation of Y2MgTi2Rh5 after structural relaxation, from the Alexandria database.

Results
E_form ... -6.26 eV per formula unit
Crystal system ... tetragonal
Total magnetization ... 0.0 μB per formula unit

```
Y2MgTi2Rh5
1.0
3.5110 0.0000 0.0000
0.0000 10.1177 0.0000
0.0000 0.0000 10.1177
Y Ti Rh Mg
4 4 10 2
Cartesian
0.0000 8.3206 6.8560
0.0000 1.7971 3.2617
0.0000 6.8560 1.7971
0.0000 3.2617 8.3206
0.0000 8.8790 3.8202
0.0000 1.2387 6.2976
0.0000 6.2976 8.8790
0.0000 3.8202 1.2387
1.7555 9.4590 2.1044
1.7555 4.4002 2.9545
1.7555 0.0000 5.0589
1.7555 5.0589 0.0000
1.7555 8.0133 9.4590
1.7555 7.1632 4.4002
1.7555 5.7175 7.1632
1.7555 2.1044 0.6587
1.7555 0.6587 8.0133
1.7555 2.9545 5.7175
0.0000 0.0000 0.0000
0.0000 5.0589 5.0589
```

***

The following is a PBE calculation of KMg3Sc after structural relaxation, from the Alexandria database.

Results
E_form ... 5.67 eV per formula unit
Crystal system ... cubic
Total magnetization ... 1.1 μB per formula unit

```
KMg3Sc
1.0
-0.3901 1.4547 5.3080
4.9410 -2.2513 0.9801
2.4242 4.8227 -1.1435
Mg K Sc
3 1 1
Cartesian
1.2121 2.4114 -0.5717
-0.1951 0.7273 2.6540
2.4705 -1.1256 0.4901
0.0000 0.0000 0.0000
3.4875 2.0130 2.5723
```

***

The following is a PBE calculation of Ga2Pd5Au3 after structural relaxation, from the Alexandria database.

Results
E_form ... -0.95 eV per formula unit
Crystal system ... orthorhombic
Total magnetization ... 0.0 μB per formula unit

```
Ga2Pd5Au3
1.0
5.5078 0.0000 0.0000
2.7539 8.0172 -1.4997
2.7539 0.6816 8.1277
Au Pd Ga
6 10 4
Cartesian
8.2616 6.8690 2.2556
5.5078 4.7012 0.6038
1.3769 0.0000 0.0000
2.7539 1.8297 4.3724
5.5078 3.9976 6.0242
4.1308 0.0000 0.0000
6.8847 4.3494 3.3140
6.8847 6.5090 4.9595
4.1308 4.3494 3.3140
6.8847 2.1898 1.6685
2.7539 4.4405 0.8720
5.5078 6.6796 2.5781
4.1308 6.5090 4.9595
4.1308 2.1898 1.6685
8.2616 4.2583 5.7560
5.5078 2.0191 4.0499
5.5078 8.1979 0.7765
8.2616 2.9241 7.6979
2.7539 5.7746 -1.0699
5.5078 0.5008 5.8515
```

***

The following is a PBE calculation of HgSbOs2 after structural relaxation, from the Alexandria database.

Results
Crystal system ... monoclinic
Total magnetization ... 0.0 μB per formula unit
Uncorrected formation energy ... 0.917 eV/atom

```
HgSbOs2
1.0
-0.5174 0.9482 4.0559
-3.0512 0.0980 -0.4121
-1.8385 -5.3576 1.0180
Sb Hg Os
1 1 2
Cartesian
-1.4811 -0.8408 2.1794
-3.9259 -3.4706 2.4824
-0.3666 -0.0465 -0.0359
-2.0783 -2.5833 0.3388
```

***

The following is a PBE calculation of Tl4CuTe3 after structural relaxation, from the Alexandria database.

Results
Crystal system ... orthorhombic
Total magnetization ... 0.0 μB per formula unit
Uncorrected formation energy ... -0.158 eV/atom

```
Tl4CuTe3
1.0
-6.6179 -4.2091 -4.3393
6.3569 -5.2430 -3.5254
0.5667 0.5581 8.9281
Tl Te Cu
8 6 2
Cartesian
-1.1284 -3.4307 1.0952
-3.0761 -6.2898 1.1086
1.4342 -5.4633 -0.0319
3.3818 -2.6042 -0.0453
5.3142 -5.6587 0.0726
-5.0085 -3.2354 0.9907
3.4633 -5.0915 2.9398
-3.1575 -3.8026 -1.8765
3.9349 -5.6861 -2.9142
0.3722 -6.5303 3.0286
1.2661 -2.6490 3.1409
-3.6291 -3.2079 3.9775
-0.0664 -2.3638 -1.9653
-0.9604 -6.2451 -2.0776
-0.1305 -4.7261 -3.9324
0.0000 0.0000 0.0000
```